No. 1
The following is a PBE-GGA calculation of Sc2Ru after structural relaxation, from the Alexandria database.

For the total moment, the calculation gives 0.000 μB/atom. The calculation puts the total energy at -90.21 eV/cell. As for the formation energy: -0.204 eV/atom. As for the crystal system: tetragonal.

Lattice parameters (Å, degrees): 14.622 14.622 14.622 164.50 164.50 21.99
Positions (direct):
Sc: 0.040 0.790 0.250
Sc: 0.124 0.374 0.750
Sc: 0.210 0.960 0.250
Sc: 0.374 0.124 0.250
Sc: 0.626 0.876 0.750
Sc: 0.790 0.040 0.750
Sc: 0.876 0.626 0.250
Sc: 0.960 0.210 0.750
Ru: 0.297 0.547 0.750
Ru: 0.453 0.703 0.750
Ru: 0.547 0.297 0.250
Ru: 0.703 0.453 0.250


No. 2
The following is a PBE-GGA calculation of CaReOs after structural relaxation, from the Alexandria database.

For the total moment, the calculation gives 0.802 μB/atom. The calculation puts the total energy at -73.50 eV/cell. As for the formation energy: 2.435 eV/atom. As for the crystal system: cubic.

Lattice parameters (Å, degrees): 6.299 6.299 6.299 90.00 90.00 90.00
Positions (direct):
Ca: 0.000 0.000 0.000
Ca: 0.000 0.500 0.500
Ca: 0.500 0.000 0.500
Ca: 0.500 0.500 0.000
Re: 0.250 0.250 0.250
Re: 0.250 0.750 0.750
Re: 0.750 0.250 0.750
Re: 0.750 0.750 0.250
Os: 0.250 0.250 0.750
Os: 0.250 0.750 0.250
Os: 0.750 0.250 0.250
Os: 0.750 0.750 0.750


No. 3
The following is a PBE-GGA calculation of Ho2SnPt after structural relaxation, from the Alexandria database.

For the total moment, the calculation gives 0.000 μB/atom. The calculation puts the total energy at -22.97 eV/cell. As for the formation energy: -0.942 eV/atom. As for the crystal system: tetragonal.

Lattice parameters (Å, degrees): 3.525 3.525 7.669 90.00 90.00 90.00
Positions (direct):
Ho: 0.000 0.000 0.218
Ho: 0.000 0.000 0.782
Sn: 0.500 0.500 0.500
Pt: 0.500 0.500 0.000


No. 4
The following is a PBE-GGA calculation of HIrS2 after structural relaxation, from the Alexandria database.

For the total moment, the calculation gives 0.000 μB/atom. The calculation puts the total energy at -83.37 eV/cell. As for the crystal system: orthorhombic.

Lattice parameters (Å, degrees): 7.348 3.524 10.932 90.00 90.00 90.00
Positions (direct):
H: 0.063 0.250 0.148
H: 0.437 0.750 0.648
H: 0.563 0.250 0.352
H: 0.937 0.750 0.852
Ir: 0.075 0.750 0.373
Ir: 0.425 0.250 0.873
Ir: 0.575 0.750 0.127
Ir: 0.925 0.250 0.627
S: 0.047 0.750 0.752
S: 0.177 0.250 0.496
S: 0.323 0.750 0.996
S: 0.453 0.250 0.252
S: 0.547 0.750 0.748
S: 0.677 0.250 0.004
S: 0.823 0.750 0.504
S: 0.953 0.250 0.248


No. 5
The following is a PBE-GGA calculation of BaTiV2 after structural relaxation, from the Alexandria database.

For the total moment, the calculation gives 0.000 μB/atom. The calculation puts the total energy at -91.93 eV/cell. As for the formation energy: 1.268 eV/atom. As for the crystal system: tetragonal.

Lattice parameters (Å, degrees): 4.659 4.659 18.678 90.00 90.00 90.00
Positions (direct):
Ba: 0.000 0.000 0.000
Ba: 0.000 0.500 0.250
Ba: 0.500 0.000 0.750
Ba: 0.500 0.500 0.500
Ti: 0.000 0.000 0.500
Ti: 0.000 0.500 0.750
Ti: 0.500 0.000 0.250
Ti: 0.500 0.500 0.000
V: 0.047 0.250 0.625
V: 0.250 0.547 0.875
V: 0.250 0.953 0.375
V: 0.453 0.250 0.125
V: 0.547 0.750 0.125
V: 0.750 0.047 0.375
V: 0.750 0.453 0.875
V: 0.953 0.750 0.625